[1]
## HfSc2As3 (GGA-PBE)

Data for a relaxed HfSc2As3 crystal.

Properties
Formation energy from the elements in meV/atom: -1257
M_tot in μB/f.u.: 0.0

a = 3.8564 Å, b = 3.8564 Å, c = 8.6273 Å
α = 102.92°, β = 102.92°, γ = 89.97°
Closest atoms and distances in Å follow each position.
Atoms (fractional coordinates):
Sc 0.1021 0.1034 0.2095  6 As 2.73-2.75
Sc 0.7665 0.7679 0.5385  6 As 2.73-2.75
As 0.9341 0.9359 0.8740  4 Hf 2.73, 2 Sc 2.75
As 0.5999 0.6012 0.2051  1 Hf 2.71, 5 Sc 2.73
As 0.2687 0.2700 0.5428  1 Hf 2.71, 5 Sc 2.73
Hf 0.4341 0.4359 0.8740  6 As 2.71-2.73

---

[2]
## GaAs2Rh2 (GGA-PBE)

Data for a relaxed GaAs2Rh2 crystal.

Properties
Energy above the most stable polymorph in this dataset in eV per atom: 0.179
Formation energy from the elements in meV/atom: -99
M_tot in μB/f.u.: 0.0

a = 7.6215 Å, b = 7.6215 Å, c = 2.8853 Å
α = 90.00°, β = 90.00°, γ = 90.00°
Closest atoms and distances in Å follow each position.
Atoms (fractional coordinates):
Ga 0.0000 0.0000 0.0000  2 Ga 2.89, 4 As 2.91
Ga 0.5000 0.5000 0.0000  2 Ga 2.89, 4 As 2.91
As 0.8508 0.6492 0.0000  6 Rh 2.61-2.73, 2 As 2.89, 2 Ga 2.91
As 0.1492 0.3508 0.0000  6 Rh 2.61-2.73, 2 As 2.89, 2 Ga 2.91
As 0.3508 0.8508 0.0000  6 Rh 2.61-2.73, 2 As 2.89, 2 Ga 2.91
As 0.6492 0.1492 0.0000  6 Rh 2.61-2.73, 2 As 2.89, 2 Ga 2.91
Rh 0.1360 0.6360 0.5000  6 As 2.61-2.73, 2 Rh 2.89
Rh 0.8640 0.3640 0.5000  6 As 2.61-2.73, 2 Rh 2.89
Rh 0.3640 0.1360 0.5000  6 As 2.61-2.73, 2 Rh 2.89
Rh 0.6360 0.8640 0.5000  6 As 2.61-2.73, 2 Rh 2.89

---

[3]
## IrPtAu2 (GGA-PBE)

Data for a relaxed IrPtAu2 crystal.

Properties
Energy above the most stable polymorph in this dataset in eV per atom: 0.041
Formation energy from the elements in meV/atom: 206
M_tot in μB/f.u.: 0.9

a = 9.5624 Å, b = 9.5624 Å, c = 9.5624 Å
α = 17.08°, β = 17.08°, γ = 17.08°
Closest atoms and distances in Å follow each position.
Atoms (fractional coordinates):
Pt 0.7500 0.7500 0.7500  6 Pt 2.84, 6 Au 2.89
Au 0.9993 0.9993 0.9993  6 Au 2.84, 3 Ir 2.85, 3 Pt 2.89
Au 0.5007 0.5007 0.5007  6 Au 2.84, 3 Ir 2.85, 3 Pt 2.89
Ir 0.2500 0.2500 0.2500  6 Ir 2.84, 6 Au 2.85

---

[4]
## KLiCr3 (GGA-PBE)

Data for a relaxed KLiCr3 crystal.

Properties
Energy above the most stable polymorph in this dataset in eV per atom: 0.732
Formation energy from the elements in meV/atom: 2139
M_tot in μB/f.u.: 15.5

a = 5.7134 Å, b = 5.7134 Å, c = 5.7134 Å
α = 90.00°, β = 90.00°, γ = 90.00°
Closest atoms and distances in Å follow each position.
Atoms (fractional coordinates):
Cr 0.5000 0.0000 0.0000  2 K 2.86
Cr 0.0000 0.5000 0.0000  2 K 2.86
Cr 0.0000 0.0000 0.5000  2 K 2.86
K 0.0000 0.0000 0.0000  6 Cr 2.86
Li 0.5000 0.5000 0.5000  12 Cr 4.04

---

[5]
## AcDy2Al (GGA-PBE)

Data for a relaxed AcDy2Al crystal.

Properties
Energy above the most stable polymorph in this dataset in eV per atom: 0.238
Formation energy from the elements in meV/atom: 86
M_tot in μB/f.u.: 0.0

a = 5.5073 Å, b = 5.5073 Å, c = 5.5073 Å
α = 60.00°, β = 60.00°, γ = 60.00°
Closest atoms and distances in Å follow each position.
Atoms (fractional coordinates):
Dy 0.2500 0.2500 0.2500  4 Ac 3.37, 4 Al 3.37
Dy 0.7500 0.7500 0.7500  4 Al 3.37, 4 Ac 3.37
Ac 0.0000 0.0000 0.0000  8 Dy 3.37
Al 0.5000 0.5000 0.5000  8 Dy 3.37

---

[6]
## Tb2YS4 (GGA-PBE)

Data for a relaxed Tb2YS4 crystal.

Properties
Energy above the most stable polymorph in this dataset in eV per atom: 0.000
Raw formation energy in eV/atom: -2.072
M_tot in μB/f.u.: 0.0

a = 7.8859 Å, b = 7.8245 Å, c = 7.8245 Å
α = 60.63°, β = 59.74°, γ = 59.74°
Closest atoms and distances in Å follow each position.
Atoms (fractional coordinates):
S 0.2414 0.2503 0.7503  1 Y 2.74, 3 Tb 2.74-2.75
S 0.2523 0.7473 0.7482  3 Tb 2.77-2.79, 2 Y 2.79
S 0.7477 0.2527 0.2518  3 Tb 2.77-2.79, 2 Y 2.79
S 0.7580 0.2503 0.7503  1 Y 2.74, 3 Tb 2.74-2.75
S 0.7586 0.7497 0.2497  1 Y 2.74, 3 Tb 2.74-2.75
S 0.2523 0.2482 0.2473  3 Tb 2.77-2.79, 2 Y 2.79
S 0.7477 0.7518 0.7527  3 Tb 2.77-2.79, 2 Y 2.79
S 0.2420 0.7497 0.2497  1 Y 2.74, 3 Tb 2.74-2.75
Tb 0.0000 0.0000 0.5000  6 S 2.75-2.79
Tb 0.0000 0.5000 0.5000  6 S 2.74-2.77
Tb 0.0000 0.0000 0.0000  6 S 2.74-2.77
Tb 0.5000 0.0000 0.5000  6 S 2.75-2.79
Y 0.5000 0.5000 0.0000  6 S 2.74-2.79
Y 0.0000 0.5000 0.0000  6 S 2.74-2.79

---

[7]
## Sm2Si3GePd4 (GGA-PBE)

Data for a relaxed Sm2Si3GePd4 crystal.

Properties
Raw formation energy in eV/atom: -0.872
M_tot in μB/f.u.: 0.0

a = 4.2586 Å, b = 4.2586 Å, c = 9.9829 Å
α = 90.00°, β = 90.00°, γ = 90.00°
Closest atoms and distances in Å follow each position.
Atoms (fractional coordinates):
Si 0.0000 0.0000 0.5000  4 Pd 2.50
Si 0.5000 0.0000 0.8724  5 Pd 2.41-2.48
Si 0.0000 0.5000 0.1276  5 Pd 2.41-2.48
Pd 0.5000 0.0000 0.6310  3 Si 2.41-2.50, 2 Ge 2.50
Pd 0.0000 0.5000 0.3690  3 Si 2.41-2.50, 2 Ge 2.50
Pd 0.0000 0.0000 0.0000  4 Si 2.48
Pd 0.5000 0.5000 0.0000  4 Si 2.48
Sm 0.0000 0.5000 0.7486  8 Pd 3.23-3.29, 6 Si 3.26-3.27, 2 Ge 3.27
Sm 0.5000 0.0000 0.2514  8 Pd 3.23-3.29, 6 Si 3.26-3.27, 2 Ge 3.27
Ge 0.5000 0.5000 0.5000  4 Pd 2.50

---

[8]
## Re2SbBr2 (GGA-PBE)

Data for a relaxed Re2SbBr2 crystal.

Properties
Energy above the most stable polymorph in this dataset in eV per atom: 0.245
Raw formation energy in eV/atom: 1.567
M_tot in μB/f.u.: 0.0

a = 8.3338 Å, b = 8.3338 Å, c = 2.9147 Å
α = 90.00°, β = 90.00°, γ = 90.00°
Closest atoms and distances in Å follow each position.
Atoms (fractional coordinates):
Re 0.7052 0.7948 0.5000  2 Br 2.47
Re 0.2948 0.2052 0.5000  2 Br 2.47
Re 0.7948 0.2948 0.5000  2 Br 2.47
Re 0.2052 0.7052 0.5000  2 Br 2.47
Sb 0.5000 0.5000 0.0000  2 Sb 2.91
Sb 0.0000 0.0000 0.0000  2 Sb 2.91
Br 0.8745 0.6255 0.0000  2 Re 2.47
Br 0.6255 0.1255 0.0000  2 Re 2.47
Br 0.1255 0.3745 0.0000  2 Re 2.47
Br 0.3745 0.8745 0.0000  2 Re 2.47

---

> M_tot of number 7 (Sm2Si3GePd4)?

0.0 μB/f.u.